BeCdN2O | PBEsol | relaxed

a = 3.364 Å, b = 3.364 Å, c = 4.284 Å
α = 90.00°, β = 90.00°, γ = 90.00°
Positions (direct):
Be 0.000 0.000 0.000
Cd 0.500 0.500 0.500
N 0.000 0.500 0.000
N 0.500 0.000 0.000
O 0.000 0.000 0.500

## Properties
Its space group is P4/mmm. Its energy relative to the elements, uncorrected is 0.578 eV/atom. For the theoretical density, the calculation gives 5.667 Mg/m³. As for the final energy: -4.922 eV/atom.

Ni3OF5 | PBEsol | relaxed

a = 5.472 Å, b = 5.472 Å, c = 6.950 Å
α = 106.24°, β = 106.24°, γ = 73.72°
Positions (direct):
Ni 0.000 0.000 0.000
Ni 0.000 0.000 0.500
Ni 0.313 0.313 0.340
Ni 0.336 0.336 0.832
Ni 0.664 0.664 0.168
Ni 0.687 0.687 0.660
O 0.089 0.089 0.295
O 0.911 0.911 0.705
F 0.026 0.631 0.337
F 0.232 0.232 0.035
F 0.303 0.697 0.000
F 0.369 0.974 0.663
F 0.445 0.445 0.635
F 0.555 0.555 0.365
F 0.631 0.026 0.337
F 0.697 0.303 0.000
F 0.768 0.768 0.965
F 0.974 0.369 0.663

## Properties
Its space group is C2/m. The calculation puts the energy above the most stable polymorph in this dataset at 0.148 eV per formula unit. Its energy relative to the elements, uncorrected is -1.414 eV/atom. For the theoretical density, the calculation gives 5.094 Mg/m³. As for the final energy: -5.120 eV/atom.